# 1
# Ba2NiSe

A crystal of Ba2NiSe relaxed with PBEsol (SCAN, the Alexandria database).

Structure (CIF):
```
data_Ba2NiSe
_chemical_formula_sum 'Ba2 Ni1 Se1'
_space_group_name_H-M_alt 'P 1'
_space_group_IT_number 1
_space_group_name_Hall 'P 1'
_cell_length_a 4.4679
_cell_length_b 4.4679
_cell_length_c 6.5040
_cell_angle_alpha 110.09
_cell_angle_beta 110.09
_cell_angle_gamma 90.00
loop_
_atom_site_label
_atom_site_type_symbol
_atom_site_fract_x
_atom_site_fract_y
_atom_site_fract_z
_atom_site_occupancy
Ba1 Ba 0.7500 0.2500 0.5000 1
Ba2 Ba 0.0000 0.0000 0.0000 1
Ni1 Ni 0.5000 0.5000 0.0000 1
Se1 Se 0.2500 0.7500 0.5000 1
```

Output
ΔE_f (raw), meV/atom: -601
M_tot, Bohr magnetons per cell: 0.1
N(E_F), states/eV/cell: 2.93

# 2
# Ba4NiSe

A crystal of Ba4NiSe relaxed with PBEsol (SCAN, the Alexandria database).

Structure (CIF):
```
data_Ba4NiSe
_chemical_formula_sum 'Ba4 Ni1 Se1'
_space_group_name_H-M_alt 'P 1'
_space_group_IT_number 1
_space_group_name_Hall 'P 1'
_cell_length_a 6.7785
_cell_length_b 6.7785
_cell_length_c 6.7785
_cell_angle_alpha 60.00
_cell_angle_beta 60.00
_cell_angle_gamma 60.00
loop_
_atom_site_label
_atom_site_type_symbol
_atom_site_fract_x
_atom_site_fract_y
_atom_site_fract_z
_atom_site_occupancy
Ba1 Ba 0.3746 0.8763 0.3746 1
Ba2 Ba 0.8763 0.3746 0.3746 1
Ba3 Ba 0.3746 0.3746 0.8763 1
Ba4 Ba 0.3746 0.3746 0.3746 1
Se1 Se 0.0000 0.0000 0.0000 1
Ni1 Ni 0.7500 0.7500 0.7500 1
```

Output
ΔE_f (raw), meV/atom: 494
M_tot, Bohr magnetons per cell: 0.0
N(E_F), states/eV/cell: 6.01

# 3
# Ba3NiSe

A crystal of Ba3NiSe relaxed with PBEsol (SCAN, the Alexandria database).

Structure (CIF):
```
data_Ba3NiSe
_chemical_formula_sum 'Ba3 Ni1 Se1'
_space_group_name_H-M_alt 'P 1'
_space_group_IT_number 1
_space_group_name_Hall 'P 1'
_cell_length_a 6.0984
_cell_length_b 6.0984
_cell_length_c 6.0984
_cell_angle_alpha 90.00
_cell_angle_beta 90.00
_cell_angle_gamma 90.00
loop_
_atom_site_label
_atom_site_type_symbol
_atom_site_fract_x
_atom_site_fract_y
_atom_site_fract_z
_atom_site_occupancy
Ba1 Ba 0.0000 0.5000 0.0000 1
Ba2 Ba 0.0000 0.0000 0.5000 1
Ba3 Ba 0.5000 0.0000 0.0000 1
Ni1 Ni 0.5000 0.5000 0.5000 1
Se1 Se 0.0000 0.0000 0.0000 1
```

Output
ΔE_f (raw), meV/atom: -281
M_tot, Bohr magnetons per cell: 0.2
N(E_F), states/eV/cell: 7.42

# 4
# Ba2SiNi

A crystal of Ba2SiNi relaxed with PBEsol (SCAN, the Alexandria database).

Structure (CIF):
```
data_Ba2SiNi
_chemical_formula_sum 'Ba2 Si1 Ni1'
_space_group_name_H-M_alt 'P 1'
_space_group_IT_number 1
_space_group_name_Hall 'P 1'
_cell_length_a 3.8987
_cell_length_b 5.5601
_cell_length_c 6.0225
_cell_angle_alpha 117.48
_cell_angle_beta 108.89
_cell_angle_gamma 90.00
loop_
_atom_site_label
_atom_site_type_symbol
_atom_site_fract_x
_atom_site_fract_y
_atom_site_fract_z
_atom_site_occupancy
Ba1 Ba 0.2161 0.7162 0.4322 1
Ba2 Ba 0.0340 0.0342 0.0679 1
Si1 Si 0.8245 0.3247 0.6489 1
Ni1 Ni 0.4255 0.4249 0.8509 1
```

Output
ΔE_f (raw), meV/atom: -188
M_tot, Bohr magnetons per cell: 0.0
N(E_F), states/eV/cell: 2.83

# 5
# BaSi3Ni

A crystal of BaSi3Ni relaxed with PBEsol (SCAN, the Alexandria database).

Structure (CIF):
```
data_BaSi3Ni
_chemical_formula_sum 'Ba1 Si3 Ni1'
_space_group_name_H-M_alt 'P 1'
_space_group_IT_number 1
_space_group_name_Hall 'P 1'
_cell_length_a 4.6192
_cell_length_b 4.6192
_cell_length_c 4.6192
_cell_angle_alpha 90.00
_cell_angle_beta 90.00
_cell_angle_gamma 90.00
loop_
_atom_site_label
_atom_site_type_symbol
_atom_site_fract_x
_atom_site_fract_y
_atom_site_fract_z
_atom_site_occupancy
Si1 Si 0.5000 0.0000 0.0000 1
Si2 Si 0.0000 0.5000 0.0000 1
Si3 Si 0.0000 0.0000 0.5000 1
Ba1 Ba 0.5000 0.5000 0.5000 1
Ni1 Ni 0.0000 0.0000 0.0000 1
```

Output
ΔE_f (raw), meV/atom: 219
M_tot, Bohr magnetons per cell: 0.0
N(E_F), states/eV/cell: 3.22

# 6
# Ba3SiNi

A crystal of Ba3SiNi relaxed with PBEsol (SCAN, the Alexandria database).

Structure (CIF):
```
data_Ba3SiNi
_chemical_formula_sum 'Ba3 Si1 Ni1'
_space_group_name_H-M_alt 'P 1'
_space_group_IT_number 1
_space_group_name_Hall 'P 1'
_cell_length_a 5.6093
_cell_length_b 5.6093
_cell_length_c 5.6093
_cell_angle_alpha 90.00
_cell_angle_beta 90.00
_cell_angle_gamma 90.00
loop_
_atom_site_label
_atom_site_type_symbol
_atom_site_fract_x
_atom_site_fract_y
_atom_site_fract_z
_atom_site_occupancy
Ba1 Ba 0.0000 0.0000 0.5000 1
Ba2 Ba 0.0000 0.5000 0.0000 1
Ba3 Ba 0.5000 0.0000 0.0000 1
Si1 Si 0.5000 0.5000 0.5000 1
Ni1 Ni 0.0000 0.0000 0.0000 1
```

Output
ΔE_f (raw), meV/atom: 157
M_tot, Bohr magnetons per cell: 0.0
N(E_F), states/eV/cell: 4.50

# 7
# Ba2SiNi

A crystal of Ba2SiNi relaxed with PBEsol (SCAN, the Alexandria database).

Structure (CIF):
```
data_Ba2SiNi
_chemical_formula_sum 'Ba2 Si1 Ni1'
_space_group_name_H-M_alt 'P 1'
_space_group_IT_number 1
_space_group_name_Hall 'P 1'
_cell_length_a 5.1989
_cell_length_b 5.1989
_cell_length_c 5.1989
_cell_angle_alpha 60.00
_cell_angle_beta 60.00
_cell_angle_gamma 60.00
loop_
_atom_site_label
_atom_site_type_symbol
_atom_site_fract_x
_atom_site_fract_y
_atom_site_fract_z
_atom_site_occupancy
Ba1 Ba 0.7500 0.7500 0.7500 1
Ba2 Ba 0.0000 0.0000 0.0000 1
Si1 Si 0.2500 0.2500 0.2500 1
Ni1 Ni 0.5000 0.5000 0.5000 1
```

Output
ΔE_f (raw), meV/atom: 284
M_tot, Bohr magnetons per cell: 0.0
N(E_F), states/eV/cell: 0.03

# 8
# Ba8Si43Ni3

A crystal of Ba8Si43Ni3 relaxed with PBEsol (SCAN, the Alexandria database).

Structure (CIF):
```
data_Ba8Si43Ni3
_chemical_formula_sum 'Ba8 Si43 Ni3'
_space_group_name_H-M_alt 'P 1'
_space_group_IT_number 1
_space_group_name_Hall 'P 1'
_cell_length_a 10.2551
_cell_length_b 10.2551
_cell_length_c 10.2551
_cell_angle_alpha 90.07
_cell_angle_beta 90.07
_cell_angle_gamma 90.07
loop_
_atom_site_label
_atom_site_type_symbol
_atom_site_fract_x
_atom_site_fract_y
_atom_site_fract_z
_atom_site_occupancy
Si1 Si 0.7507 0.0000 0.2493 1
Si2 Si 0.5673 0.9366 0.5666 1
Si3 Si 0.5678 0.9363 0.9348 1
Si4 Si 0.0711 0.7506 0.6216 1
Si5 Si 0.5661 0.5661 0.5661 1
Si6 Si 0.2494 0.9289 0.3784 1
Si7 Si 0.9366 0.5666 0.5673 1
Si8 Si 0.5678 0.3814 0.2491 1
Si9 Si 0.2491 0.5678 0.3814 1
Si10 Si 0.1376 0.2492 0.9420 1
Si11 Si 0.0580 0.7508 0.8624 1
Si12 Si 0.4436 0.7513 0.8651 1
Si13 Si 0.0000 0.2493 0.7507 1
Si14 Si 0.7513 0.8651 0.4436 1
Si15 Si 0.3814 0.2491 0.5678 1
Si16 Si 0.4322 0.0652 0.0637 1
Si17 Si 0.0652 0.0637 0.4322 1
Si18 Si 0.5666 0.5673 0.9366 1
Si19 Si 0.7508 0.8624 0.0580 1
Si20 Si 0.4339 0.4339 0.4339 1
Si21 Si 0.0634 0.4327 0.4334 1
Si22 Si 0.9346 0.9346 0.9346 1
Si23 Si 0.7506 0.6216 0.0711 1
Si24 Si 0.2493 0.7507 0.0000 1
Si25 Si 0.9420 0.1376 0.2492 1
Si26 Si 0.9348 0.5678 0.9363 1
Si27 Si 0.4334 0.0634 0.4327 1
Si28 Si 0.4322 0.7509 0.6186 1
Si29 Si 0.6216 0.0711 0.7506 1
Si30 Si 0.0654 0.0654 0.0654 1
Si31 Si 0.1349 0.2487 0.5564 1
Si32 Si 0.8651 0.4436 0.7513 1
Si33 Si 0.5564 0.1349 0.2487 1
Si34 Si 0.9289 0.3784 0.2494 1
Si35 Si 0.6186 0.4322 0.7509 1
Si36 Si 0.8624 0.0580 0.7508 1
Si37 Si 0.4327 0.4334 0.0634 1
Si38 Si 0.9363 0.9348 0.5678 1
Si39 Si 0.3784 0.2494 0.9289 1
Si40 Si 0.0637 0.4322 0.0652 1
Si41 Si 0.2492 0.9420 0.1376 1
Si42 Si 0.2487 0.5564 0.1349 1
Si43 Si 0.7509 0.6186 0.4322 1
Ba1 Ba 0.7372 0.2628 0.5000 1
Ba2 Ba 0.7467 0.7467 0.7467 1
Ba3 Ba 0.7367 0.2633 0.0000 1
Ba4 Ba 0.5000 0.7372 0.2628 1
Ba5 Ba 0.0000 0.7367 0.2633 1
Ba6 Ba 0.2633 0.0000 0.7367 1
Ba7 Ba 0.2533 0.2533 0.2533 1
Ba8 Ba 0.2628 0.5000 0.7372 1
Ni1 Ni 0.5000 0.2506 0.7494 1
Ni2 Ni 0.2506 0.7494 0.5000 1
Ni3 Ni 0.7494 0.5000 0.2506 1
```

Output
ΔE_f (raw), meV/atom: -213
M_tot, Bohr magnetons per cell: 0.0
N(E_F), states/eV/cell: 11.48

Look up the N(E_F) of the first one. 2.93 states/eV/cell

M_tot of number 4 (Ba2SiNi)? 0.0 Bohr magnetons per cell

Look up the N(E_F) of the fifth one. 3.22 states/eV/cell